Density functional theory data (PBE-GGA) for a geometry-optimized SmAsRh2 structure.

Output
Formation enthalpy at 0 K   -0.79 eV/atom
E   -6.805 eV per atom
Spin magnetization   0.00 μB per cell

a b c (Å): 3.965 3.965 9.629
angles (deg): 90.00 90.00 90.00
Atoms (fractional coordinates):
Sm 0.250 0.250 0.209
Sm 0.750 0.750 0.791
As 0.250 0.250 0.655
As 0.750 0.750 0.345
Rh 0.250 0.250 0.907
Rh 0.250 0.750 0.500
Rh 0.750 0.250 0.500
Rh 0.750 0.750 0.093